Sr2CaAu6 after structural relaxation. Source: Alexandria via LeMat-Bulk, functional GGA-PBE.

Structure (extended XYZ):
```
9
Lattice="-3.3890 1.5489 -0.6149 -2.9078 -7.3635 -2.5224 -0.4804 2.1315 8.0165" Properties=species:S:1:pos:R:3 pbc="T T T"
Au -2.0156 2.1993 5.0512
Sr -1.2895 -1.0335 4.5035
Au -2.6585 -1.6668 -1.1437
Au -3.9593 -2.7229 3.3651
Ca -0.4804 2.1315 8.0165
Au -2.8178 -0.9601 1.5141
Sr -5.4876 -2.6496 0.3757
Au -4.1186 -2.0162 6.0229
Au -1.8538 1.4811 2.3503
```

Results
The total energy comes out at -3.496 eV per atom. For the energy of formation, the calculation gives -714.9 meV per atom.